Compound: Y8Tm2Mg
Source: Alexandria via LeMat-Bulk
Functional: PBE
Structure: optimized geometry

The structure in CIF format:
```
data_Y8Tm2Mg
_chemical_formula_sum 'Y16 Tm4 Mg2'
_cell_length_a 5.394
_cell_length_b 12.946
_cell_length_c 10.234
_cell_angle_alpha 90.00
_cell_angle_beta 90.00
_cell_angle_gamma 90.00
_space_group_name_H-M_alt 'A m m 2'
_space_group_IT_number 38
loop_
_space_group_symop_operation_xyz
'x,y,z'
'-x,-y,z'
'-x,y,z'
'x,-y,z'
'x,y+1/2,z+1/2'
'-x,-y+1/2,z+1/2'
'-x,y+1/2,z+1/2'
'x,-y+1/2,z+1/2'
loop_
_atom_site_label
_atom_site_type_symbol
_atom_site_fract_x
_atom_site_fract_y
_atom_site_fract_z
Y1 Y 0.000 0.000 0.000
Y2 Y 0.000 0.000 0.332
Y3 Y 0.000 0.247 0.166
Y4 Y 0.500 0.137 0.502
Y5 Y 0.500 0.137 0.830
Tm1 Tm 0.500 0.120 0.166
Mg1 Mg 0.000 0.000 0.665
```

Calculated values
ΔH_f (0 K): 0.16 eV/atom
Theoretical density: 5.0 Mg/m³